No. 1
Compound: Ac2MgP3Rh4
Source: Alexandria via LeMat-Bulk
Functional: PBE
Structure: relaxed

Calculated values
- DOS(E_F) (states/eV/cell) = 5.84
- DFT total energy (eV/atom) = -6.49

Cell and atoms, written as CIF:
```
data_Ac2MgP3Rh4
_cell_length_a 4.2044
_cell_length_b 4.2044
_cell_length_c 10.4204
_cell_angle_alpha 90.00
_cell_angle_beta 90.00
_cell_angle_gamma 90.00
_symmetry_space_group_name_H-M 'P 1'
_symmetry_Int_Tables_number 1
_symmetry_space_group_name_Hall 'P 1'
loop_
_atom_site_label
_atom_site_fract_x
_atom_site_fract_y
_atom_site_fract_z
_atom_site_occupancy
Ac1 0.0000 0.5000 0.2479 1
Ac2 0.5000 0.0000 0.7521 1
Mg1 0.0000 0.0000 0.5000 1
P1 0.0000 0.5000 0.8731 1
P2 0.5000 0.0000 0.1269 1
P3 0.5000 0.5000 0.5000 1
Rh1 0.0000 0.0000 0.0000 1
Rh2 0.0000 0.5000 0.6428 1
Rh3 0.5000 0.0000 0.3572 1
Rh4 0.5000 0.5000 0.0000 1
```

No. 2
Compound: La4Al
Source: Alexandria via LeMat-Bulk
Functional: PBE
Structure: relaxed

Calculated values
- offset from the most stable computed form (eV per atom) = 0.4024
- DOS(E_F) (states/eV/cell) = 7.06
- DFT total energy (eV/atom) = -4.41

Cell and atoms, written as CIF:
```
data_La4Al
_cell_length_a 10.0549
_cell_length_b 10.0549
_cell_length_c 10.0549
_cell_angle_alpha 155.31
_cell_angle_beta 155.31
_cell_angle_gamma 35.20
_symmetry_space_group_name_H-M 'P 1'
_symmetry_Int_Tables_number 1
_symmetry_space_group_name_Hall 'P 1'
loop_
_atom_site_label
_atom_site_fract_x
_atom_site_fract_y
_atom_site_fract_z
_atom_site_occupancy
La1 0.0781 0.0781 0.0000 1
La2 0.2500 0.7500 0.5000 1
La3 0.7500 0.2500 0.5000 1
La4 0.9219 0.9219 0.0000 1
Al1 0.5000 0.5000 0.0000 1
```

No. 3
Compound: Sr3Si5O12
Source: Alexandria via LeMat-Bulk
Functional: PBE
Structure: relaxed

Calculated values
- E_form (uncorrected) (meV per atom) = -2467
- DOS(E_F) (states/eV/cell) = 21.45
- DFT total energy (eV/atom) = -7.05

Cell and atoms, written as CIF:
```
data_Sr3Si5O12
_cell_length_a 10.7915
_cell_length_b 10.7915
_cell_length_c 10.7915
_cell_angle_alpha 109.47
_cell_angle_beta 109.47
_cell_angle_gamma 109.47
_symmetry_space_group_name_H-M 'P 1'
_symmetry_Int_Tables_number 1
_symmetry_space_group_name_Hall 'P 1'
loop_
_atom_site_label
_atom_site_fract_x
_atom_site_fract_y
_atom_site_fract_z
_atom_site_occupancy
Sr1 0.1250 0.2500 0.3750 1
Sr2 0.1250 0.3750 0.7500 1
Sr3 0.2500 0.3750 0.1250 1
Sr4 0.2500 0.8750 0.6250 1
Sr5 0.3750 0.1250 0.2500 1
Sr6 0.3750 0.7500 0.1250 1
Sr7 0.6250 0.2500 0.8750 1
Sr8 0.6250 0.8750 0.7500 1
Sr9 0.7500 0.1250 0.3750 1
Sr10 0.7500 0.6250 0.8750 1
Sr11 0.8750 0.6250 0.2500 1
Sr12 0.8750 0.7500 0.6250 1
Si1 0.0000 0.0000 0.0000 1
Si2 0.0000 0.0000 0.5000 1
Si3 0.0000 0.5000 0.0000 1
Si4 0.0000 0.5000 0.5000 1
Si5 0.1250 0.7500 0.8750 1
Si6 0.1250 0.8750 0.2500 1
Si7 0.2500 0.1250 0.8750 1
Si8 0.2500 0.6250 0.3750 1
Si9 0.3750 0.2500 0.6250 1
Si10 0.3750 0.6250 0.7500 1
Si11 0.5000 0.0000 0.0000 1
Si12 0.5000 0.0000 0.5000 1
Si13 0.5000 0.5000 0.0000 1
Si14 0.5000 0.5000 0.5000 1
Si15 0.6250 0.3750 0.2500 1
Si16 0.6250 0.7500 0.3750 1
Si17 0.7500 0.3750 0.6250 1
Si18 0.7500 0.8750 0.1250 1
Si19 0.8750 0.1250 0.7500 1
Si20 0.8750 0.2500 0.1250 1
O1 0.0002 0.1944 0.1098 1
O2 0.0002 0.3058 0.8904 1
O3 0.9998 0.6942 0.1096 1
O4 0.9998 0.8056 0.8902 1
O5 0.0846 0.6944 0.6942 1
O6 0.0846 0.8902 0.3904 1
O7 0.1098 0.0002 0.1944 1
O8 0.1096 0.9998 0.6942 1
O9 0.1096 0.6098 0.4154 1
O10 0.1098 0.6096 0.9154 1
O11 0.1944 0.1098 0.0002 1
O12 0.1942 0.1944 0.5846 1
O13 0.1942 0.4998 0.6096 1
O14 0.1944 0.5846 0.1942 1
O15 0.3056 0.3058 0.9154 1
O16 0.3056 0.4998 0.3902 1
O17 0.3058 0.8904 0.0002 1
O18 0.3058 0.9154 0.3056 1
O19 0.3904 0.0846 0.8902 1
O20 0.3902 0.3056 0.4998 1
O21 0.3902 0.5846 0.8904 1
O22 0.3904 0.8058 0.5002 1
O23 0.4154 0.1096 0.6098 1
O24 0.4154 0.8058 0.8056 1
O25 0.4998 0.3902 0.3056 1
O26 0.5002 0.3904 0.8058 1
O27 0.4998 0.6096 0.1942 1
O28 0.5002 0.6098 0.6944 1
O29 0.5846 0.1942 0.1944 1
O30 0.5846 0.8904 0.3902 1
O31 0.6096 0.1942 0.4998 1
O32 0.6098 0.4154 0.1096 1
O33 0.6098 0.6944 0.5002 1
O34 0.6096 0.9154 0.1098 1
O35 0.6942 0.0846 0.6944 1
O36 0.6942 0.1096 0.9998 1
O37 0.6944 0.5002 0.6098 1
O38 0.6944 0.6942 0.0846 1
O39 0.8056 0.4154 0.8058 1
O40 0.8058 0.5002 0.3904 1
O41 0.8058 0.8056 0.4154 1
O42 0.8056 0.8902 0.9998 1
O43 0.8904 0.0002 0.3058 1
O44 0.8902 0.9998 0.8056 1
O45 0.8902 0.3904 0.0846 1
O46 0.8904 0.3902 0.5846 1
O47 0.9154 0.1098 0.6096 1
O48 0.9154 0.3056 0.3058 1
```

No. 4
Compound: Ti5Zn2Fe2Ir
Source: Alexandria via LeMat-Bulk
Functional: PBE
Structure: relaxed

Calculated values
- DOS(E_F) (states/eV/cell) = 18.42
- DFT total energy (eV/atom) = -7.02

Cell and atoms, written as CIF:
```
data_Ti5Zn2Fe2Ir
_cell_length_a 10.2761
_cell_length_b 10.2761
_cell_length_c 2.9538
_cell_angle_alpha 90.00
_cell_angle_beta 90.00
_cell_angle_gamma 90.00
_symmetry_space_group_name_H-M 'P 1'
_symmetry_Int_Tables_number 1
_symmetry_space_group_name_Hall 'P 1'
loop_
_atom_site_label
_atom_site_fract_x
_atom_site_fract_y
_atom_site_fract_z
_atom_site_occupancy
Ti1 0.0000 0.5000 0.0000 1
Ti2 0.0736 0.2000 0.0000 1
Ti3 0.2000 0.9264 0.0000 1
Ti4 0.3000 0.4264 0.0000 1
Ti5 0.4264 0.7000 0.0000 1
Ti6 0.5000 0.0000 0.0000 1
Ti7 0.5736 0.3000 0.0000 1
Ti8 0.7000 0.5736 0.0000 1
Ti9 0.8000 0.0736 0.0000 1
Ti10 0.9264 0.8000 0.0000 1
Zn1 0.1720 0.6720 0.5000 1
Zn2 0.3280 0.1720 0.5000 1
Zn3 0.6720 0.8280 0.5000 1
Zn4 0.8280 0.3280 0.5000 1
Fe1 0.1311 0.3689 0.5000 1
Fe2 0.3689 0.8689 0.5000 1
Fe3 0.6311 0.1311 0.5000 1
Fe4 0.8689 0.6311 0.5000 1
Ir1 0.0000 0.0000 0.5000 1
Ir2 0.5000 0.5000 0.5000 1
```

No. 5
Compound: GaPt2PbI
Source: Alexandria via LeMat-Bulk
Functional: PBE
Structure: relaxed

Calculated values
- E_form (uncorrected) (meV per atom) = 892
- DOS(E_F) (states/eV/cell) = 3.76
- DFT total energy (eV/atom) = -3.18

Cell and atoms, written as CIF:
```
data_GaPt2PbI
_cell_length_a 5.0140
_cell_length_b 5.0140
_cell_length_c 6.1389
_cell_angle_alpha 90.00
_cell_angle_beta 90.00
_cell_angle_gamma 90.00
_symmetry_space_group_name_H-M 'P 1'
_symmetry_Int_Tables_number 1
_symmetry_space_group_name_Hall 'P 1'
loop_
_atom_site_label
_atom_site_fract_x
_atom_site_fract_y
_atom_site_fract_z
_atom_site_occupancy
Ga1 0.0000 0.0000 0.0000 1
Pt1 0.0000 0.5000 0.5000 1
Pt2 0.5000 0.0000 0.5000 1
Pb1 0.5000 0.5000 0.0000 1
I1 0.5000 0.5000 0.5000 1
```

No. 6
Compound: Tb8ThIr6
Source: Alexandria via LeMat-Bulk
Functional: PBE
Structure: relaxed

Calculated values
- DOS(E_F) (states/eV/cell) = 9.36
- DFT total energy (eV/atom) = -7.29

Cell and atoms, written as CIF:
```
data_Tb8ThIr6
_cell_length_a 7.7583
_cell_length_b 7.7583
_cell_length_c 7.7583
_cell_angle_alpha 64.81
_cell_angle_beta 64.81
_cell_angle_gamma 64.81
_symmetry_space_group_name_H-M 'P 1'
_symmetry_Int_Tables_number 1
_symmetry_space_group_name_Hall 'P 1'
loop_
_atom_site_label
_atom_site_fract_x
_atom_site_fract_y
_atom_site_fract_z
_atom_site_occupancy
Tb1 0.0355 0.3968 0.7282 1
Tb2 0.1616 0.1616 0.1616 1
Tb3 0.2718 0.9645 0.6032 1
Tb4 0.3968 0.7282 0.0355 1
Tb5 0.6032 0.2718 0.9645 1
Tb6 0.7282 0.0355 0.3968 1
Tb7 0.8384 0.8384 0.8384 1
Tb8 0.9645 0.6032 0.2718 1
Th1 0.5000 0.5000 0.5000 1
Ir1 0.1186 0.7704 0.4418 1
Ir2 0.2296 0.5582 0.8814 1
Ir3 0.4418 0.1186 0.7704 1
Ir4 0.5582 0.8814 0.2296 1
Ir5 0.7704 0.4418 0.1186 1
Ir6 0.8814 0.2296 0.5582 1
```

No. 7
Compound: Li2RhPb
Source: Alexandria via LeMat-Bulk
Functional: PBE
Structure: relaxed

Calculated values
- DOS(E_F) (states/eV/cell) = 3.76
- DFT total energy (eV/atom) = -3.77

Cell and atoms, written as CIF:
```
data_Li2RhPb
_cell_length_a 10.1255
_cell_length_b 10.1255
_cell_length_c 10.1255
_cell_angle_alpha 157.85
_cell_angle_beta 157.85
_cell_angle_gamma 31.53
_symmetry_space_group_name_H-M 'P 1'
_symmetry_Int_Tables_number 1
_symmetry_space_group_name_Hall 'P 1'
loop_
_atom_site_label
_atom_site_fract_x
_atom_site_fract_y
_atom_site_fract_z
_atom_site_occupancy
Li1 0.0967 0.6250 0.9717 1
Li2 0.3750 0.3467 0.4717 1
Li3 0.6533 0.1250 0.0283 1
Li4 0.8750 0.9033 0.5283 1
Rh1 0.0000 0.0000 0.0000 1
Rh2 0.7500 0.2500 0.5000 1
Pb1 0.2500 0.7500 0.5000 1
Pb2 0.5000 0.5000 0.0000 1
```

No. 8
Compound: FeCo4Ni
Source: Alexandria via LeMat-Bulk
Functional: PBE
Structure: relaxed

Calculated values
- offset from the most stable computed form (eV per atom) = 0.0000
- DOS(E_F) (states/eV/cell) = 5.79
- DFT total energy (eV/atom) = -7.06

Cell and atoms, written as CIF:
```
data_FeCo4Ni
_cell_length_a 2.9022
_cell_length_b 2.9022
_cell_length_c 8.0057
_cell_angle_alpha 90.00
_cell_angle_beta 90.00
_cell_angle_gamma 90.00
_symmetry_space_group_name_H-M 'P 1'
_symmetry_Int_Tables_number 1
_symmetry_space_group_name_Hall 'P 1'
loop_
_atom_site_label
_atom_site_fract_x
_atom_site_fract_y
_atom_site_fract_z
_atom_site_occupancy
Fe1 0.0000 0.0000 0.0000 1
Co1 0.0000 0.0000 0.3399 1
Co2 0.0000 0.0000 0.6601 1
Co3 0.5000 0.5000 0.1728 1
Co4 0.5000 0.5000 0.8272 1
Ni1 0.5000 0.5000 0.5000 1
```

No. 9
Compound: LaCoIr
Source: Alexandria via LeMat-Bulk
Functional: PBE
Structure: relaxed

Calculated values
- DOS(E_F) (states/eV/cell) = 2.17
- DFT total energy (eV/atom) = -7.35

Cell and atoms, written as CIF:
```
data_LaCoIr
_cell_length_a 4.1310
_cell_length_b 4.1310
_cell_length_c 4.2595
_cell_angle_alpha 90.00
_cell_angle_beta 90.00
_cell_angle_gamma 120.00
_symmetry_space_group_name_H-M 'P 1'
_symmetry_Int_Tables_number 1
_symmetry_space_group_name_Hall 'P 1'
loop_
_atom_site_label
_atom_site_fract_x
_atom_site_fract_y
_atom_site_fract_z
_atom_site_occupancy
La1 0.0000 0.0000 0.0000 1
Co1 0.6667 0.3333 0.5000 1
Ir1 0.3333 0.6667 0.5000 1
```

> The highest DFT total energy belongs to which entry?

GaPt2PbI